Mg2Ni5Ge3 | PBE-GGA | optimized geometry Values from VASP.

final energy = -97.6 eV for the cell shown
symmetry = Cmc2_1 (36)

Cell and atoms, written as Quantum ESPRESSO input:
```
&SYSTEM
  ibrav = 0, nat = 20, ntyp = 3
/
ATOMIC_SPECIES
Mg 24.30 Mg.upf
Ni 58.69 Ni.upf
Ge 72.64 Ge.upf
CELL_PARAMETERS angstrom
-1.993 2.473 -2.303
-4.383 0.580 4.415
6.613 7.422 5.590
ATOMIC_POSITIONS angstrom
Mg 1.894 8.866 7.882
Mg -0.879 3.609 4.637
Mg 1.759 6.781 2.418
Mg -2.187 1.679 0.354
Ni 2.309 6.986 5.504
Ni 1.266 4.982 4.254
Ni -2.457 5.683 4.887
Ni -0.027 2.260 2.450
Ni -0.317 5.667 6.360
Ni 3.357 9.035 3.456
Ni -0.225 4.912 2.128
Ni -0.294 8.289 5.815
Ni -2.227 1.322 3.347
Ni -3.974 3.741 4.115
Ge -0.395 6.635 4.125
Ge -2.202 3.494 2.316
Ge 0.447 0.883 0.561
Ge 1.865 3.677 2.335
Ge 1.750 9.333 5.166
Ge 4.096 6.762 3.718
```

NaPtPb | PBE-GGA | optimized geometry Values from VASP.

final energy = -11.6 eV for the cell shown
symmetry = F-43m (216)

Cell and atoms, written as Quantum ESPRESSO input:
```
&SYSTEM
  ibrav = 0, nat = 3, ntyp = 3
/
ATOMIC_SPECIES
Pb 207.20 Pb.upf
Na 22.99 Na.upf
Pt 195.08 Pt.upf
CELL_PARAMETERS angstrom
4.706 0.000 0.000
2.353 4.075 0.000
2.353 1.358 3.842
ATOMIC_POSITIONS angstrom
Pb 0.000 0.000 0.000
Na 4.706 2.717 1.921
Pt 2.353 1.358 0.961
```

LiTaRh2 | PBE-GGA | optimized geometry Values from VASP.

final energy = -57.2 eV for the cell shown
symmetry = I-42d (122)

Cell and atoms, written as Quantum ESPRESSO input:
```
&SYSTEM
  ibrav = 0, nat = 8, ntyp = 3
/
ATOMIC_SPECIES
Li 6.94 Li.upf
Rh 102.91 Rh.upf
Ta 180.95 Ta.upf
CELL_PARAMETERS angstrom
6.670 0.000 0.000
0.000 6.670 0.000
3.335 3.335 2.858
ATOMIC_POSITIONS angstrom
Li 3.335 3.335 0.000
Li 3.335 6.670 1.429
Rh 5.006 1.668 0.715
Rh 1.664 5.003 0.715
Rh 5.003 5.000 2.144
Rh 8.338 8.341 2.144
Ta 0.000 0.000 0.000
Ta 6.670 3.335 1.429
```

Er2ZnIn | PBE-GGA | optimized geometry Values from VASP.

final energy = -14.1 eV for the cell shown
symmetry = R-3m (166)

Cell and atoms, written as Quantum ESPRESSO input:
```
&SYSTEM
  ibrav = 0, nat = 4, ntyp = 3
/
ATOMIC_SPECIES
Zn 65.41 Zn.upf
In 114.82 In.upf
Er 167.26 Er.upf
CELL_PARAMETERS angstrom
3.614 0.000 0.000
1.807 3.129 0.000
1.807 1.043 9.237
ATOMIC_POSITIONS angstrom
Zn 0.000 0.000 0.000
In 3.614 2.086 4.618
Er 1.807 1.043 2.161
Er 5.420 3.129 7.076
```

Ag5Pb3Br12 | PBE-GGA | optimized geometry Values from VASP.

final energy = -225.2 eV for the cell shown
symmetry = Ia-3d (230)

Cell and atoms, written as Quantum ESPRESSO input:
```
&SYSTEM
  ibrav = 0, nat = 80, ntyp = 3
/
ATOMIC_SPECIES
Pb 207.20 Pb.upf
Ag 107.87 Ag.upf
Br 79.90 Br.upf
CELL_PARAMETERS angstrom
-10.951 -8.200 -5.809
6.974 -7.807 10.551
-5.695 12.376 5.943
ATOMIC_POSITIONS angstrom
Pb -6.310 -7.531 0.343
Pb -5.063 -11.484 3.573
Pb -2.436 -1.196 9.449
Pb -4.002 1.615 2.095
Pb -10.134 -5.057 -2.278
Pb -1.172 -4.861 5.902
Pb -8.501 1.229 4.783
Pb 0.462 1.425 12.963
Pb -5.671 -5.247 8.590
Pb -7.237 -2.436 1.236
Pb -4.609 7.852 7.112
Pb -3.362 3.899 10.342
Ag -0.177 -0.859 4.716
Ag 3.487 -3.904 5.275
Ag 0.000 0.000 0.000
Ag -3.075 -3.480 1.202
Ag -8.323 2.088 0.067
Ag -1.988 -8.004 2.371
Ag 1.726 -2.240 9.416
Ag -12.325 3.702 2.162
Ag -5.990 -6.389 4.466
Ag -7.506 5.231 3.598
Ag -2.166 -8.863 7.087
Ag -4.836 -1.816 5.342
Ag -5.475 -4.100 -2.904
Ag -2.848 6.188 2.971
Ag -3.682 2.757 6.219
Ag 2.653 -7.334 8.523
Ag 0.639 2.284 8.247
Ag -11.398 -1.392 1.269
Ag -6.597 -0.152 9.483
Ag -9.495 -2.773 5.969
Br -7.170 -6.359 -2.569
Br -2.146 -1.777 6.264
Br -9.535 -7.251 0.050
Br -5.143 -4.532 -0.113
Br -5.290 -2.051 8.140
Br -7.409 -10.292 1.658
Br -0.437 -3.692 8.844
Br 4.683 -6.261 9.879
Br -3.579 -3.958 10.724
Br -4.727 -8.288 3.084
Br -7.513 -5.416 2.504
Br -2.901 -13.396 5.077
Br 0.513 0.060 10.014
Br -1.699 -5.195 2.712
Br 3.286 -3.234 11.337
Br -6.972 2.889 2.438
Br -0.965 0.579 2.612
Br -0.825 -7.959 4.966
Br -4.298 -10.365 6.527
Br 0.985 -3.187 4.129
Br -1.858 -0.832 12.627
Br -4.403 -4.609 5.661
Br -7.318 -7.243 6.616
Br -11.525 2.315 4.295
Br -5.269 0.977 5.024
Br -2.354 3.611 4.069
Br 1.852 -5.947 6.390
Br -5.374 6.733 4.158
Br -7.814 -2.800 -1.942
Br -10.657 -0.445 6.555
Br -8.847 4.326 5.719
Br -2.700 -6.521 8.247
Br -8.708 -4.211 8.073
Br -12.958 -0.398 -0.652
Br -10.185 -3.692 0.671
Br -6.771 9.764 5.608
Br -7.973 1.563 7.973
Br -6.093 0.326 -0.040
Br -4.945 4.656 7.601
Br -2.160 1.784 8.181
Br -14.356 2.629 0.806
Br -9.235 0.060 1.841
Br -4.529 0.900 10.798
Br -2.263 6.660 9.027
Br -4.382 -1.582 2.545
Br -0.138 3.619 10.635
Br -7.526 -1.855 4.420
Br -2.502 2.727 13.254
```

MnMoPt | PBE-GGA | optimized geometry Values from VASP.

final energy = -26.4 eV for the cell shown
symmetry = I4mm (107)

Cell and atoms, written as Quantum ESPRESSO input:
```
&SYSTEM
  ibrav = 0, nat = 3, ntyp = 3
/
ATOMIC_SPECIES
Mn 54.94 Mn.upf
Mo 95.94 Mo.upf
Pt 195.08 Pt.upf
CELL_PARAMETERS angstrom
-5.139 3.255 -1.515
-5.359 1.066 -3.072
-1.844 -1.011 1.686
ATOMIC_POSITIONS angstrom
Mn -1.854 -1.005 1.678
Mo -4.753 0.782 -0.423
Pt -7.579 2.523 -2.471
```

AcAgI | PBE-GGA | optimized geometry Values from VASP.

final energy = -21.9 eV for the cell shown
symmetry = C2/m (12)

Cell and atoms, written as Quantum ESPRESSO input:
```
&SYSTEM
  ibrav = 0, nat = 6, ntyp = 3
/
ATOMIC_SPECIES
Ac 227.00 Ac.upf
Ag 107.87 Ag.upf
I 126.90 I.upf
CELL_PARAMETERS angstrom
-3.080 2.287 2.704
-4.594 -0.795 -0.539
0.827 -9.203 8.356
ATOMIC_POSITIONS angstrom
Ac -6.997 -4.684 7.716
Ac 0.149 -3.027 2.806
Ag -4.703 -3.631 5.644
Ag -2.145 -4.081 4.877
I -5.073 -0.425 2.771
I -1.775 -7.287 7.750
```

H12Ru5Rh3 | PBE-GGA | optimized geometry Values from VASP.

final energy = -412.4 eV for the cell shown
symmetry = Ia-3d (230)

Cell and atoms, written as Quantum ESPRESSO input:
```
&SYSTEM
  ibrav = 0, nat = 80, ntyp = 3
/
ATOMIC_SPECIES
Rh 102.91 Rh.upf
Ru 101.07 Ru.upf
H 1.01 H.upf
CELL_PARAMETERS angstrom
-0.486 9.245 0.760
-1.431 -3.870 8.322
8.406 -2.411 -3.132
ATOMIC_POSITIONS angstrom
Rh 0.149 5.181 3.299
Rh -0.448 4.885 6.515
Rh 3.998 -0.943 4.569
Rh 2.852 0.923 0.056
Rh 1.497 7.003 0.922
Rh 1.025 0.445 4.703
Rh 5.464 2.518 1.246
Rh 4.992 -4.039 5.028
Rh 3.637 2.040 5.894
Rh 2.491 3.906 1.381
Rh 6.937 -1.922 -0.565
Rh 6.339 -2.218 2.651
Ru 1.504 -0.899 2.433
Ru -0.715 -1.935 4.161
Ru 0.000 0.000 0.000
Ru 0.511 2.198 1.974
Ru 3.960 3.417 -1.186
Ru -0.959 2.687 4.541
Ru 2.018 -2.651 5.162
Ru 6.812 4.340 -1.131
Ru 1.893 3.611 4.597
Ru 5.943 1.175 -1.024
Ru 0.546 1.789 6.974
Ru 3.244 1.482 2.975
Ru -0.243 4.623 0.380
Ru 4.203 -1.206 -1.566
Ru 4.596 -0.647 1.353
Ru -0.323 -1.377 7.080
Ru 3.488 -3.141 2.595
Ru 4.470 5.615 0.788
Ru 5.978 0.766 3.976
Ru 4.985 3.862 3.517
H -0.066 6.055 1.503
H 2.585 -0.117 3.569
H 1.317 6.647 2.891
H 0.546 3.947 1.885
H 4.300 1.036 4.400
H 0.138 6.068 5.000
H 2.172 -0.923 5.405
H -0.197 -3.120 7.200
H 3.997 0.086 6.188
H 0.226 4.023 4.939
H 2.052 4.557 3.131
H -1.241 3.974 8.120
H 3.579 -2.901 4.406
H -0.016 1.517 3.499
H 1.699 -3.604 6.597
H 4.470 1.861 -0.371
H 1.619 -0.362 0.769
H -0.513 1.313 5.662
H 0.593 3.501 7.341
H 0.009 -0.517 3.262
H 4.974 -2.146 5.700
H 2.248 1.901 4.450
H 3.048 3.961 5.867
H 6.793 3.678 0.491
H 4.241 1.062 1.500
H 3.441 -0.997 0.083
H -0.304 -0.714 5.459
H 5.896 -0.538 -1.391
H 1.515 5.110 0.250
H 6.480 3.481 2.688
H 7.002 1.651 0.288
H 2.019 1.102 6.321
H 4.870 3.325 5.181
H 4.790 6.567 -0.647
H 2.910 5.864 1.544
H 7.730 -1.010 -2.171
H 6.505 1.447 2.450
H 2.492 2.878 -0.239
H 6.263 -1.060 1.010
H 4.437 -1.594 2.818
H 6.686 6.083 -1.250
H 4.317 3.887 0.545
H 5.943 -0.984 4.065
H 6.351 -3.104 0.949
H 2.189 1.927 1.550
H 5.171 -3.684 3.058
H 3.904 3.081 2.381
H 6.555 -3.092 4.447
```

no.,total magnetic moment (μB per atom),DOS at the Fermi energy (states/eV/f.u.)
1,0.000,5.05
2,0.000,1.98
3,0.000,0.76
4,0.000,3.22
5,0.000,15.12
6,0.676,1.97
7,0.000,1.08
8,0.000,18.05